(1)
{
  "formula": "VPd2Pt",
  "functional": "PBE",
  "state": "optimized geometry",
  "formation_energy_mev_per_atom": -127.2,
  "magnetic_moment_mub_per_cell": 5.49,
  "crystal_system": "cubic",
  "lattice_angstrom": [[6.240, 0.000, 0.000], [0.000, 6.240, 0.000], [0.000, 0.000, 6.240]],
  "species": ["V", "V", "V", "V", "Pd", "Pd", "Pd", "Pd", "Pd", "Pd", "Pd", "Pd", "Pt", "Pt", "Pt", "Pt"],
  "frac_coords": [[0.000, 0.000, 0.000], [0.000, 0.500, 0.500], [0.500, 0.000, 0.500], [0.500, 0.500, 0.000], [0.250, 0.250, 0.250], [0.250, 0.250, 0.750], [0.250, 0.750, 0.250], [0.250, 0.750, 0.750], [0.750, 0.250, 0.250], [0.750, 0.250, 0.750], [0.750, 0.750, 0.250], [0.750, 0.750, 0.750], [0.000, 0.000, 0.500], [0.000, 0.500, 0.000], [0.500, 0.000, 0.000], [0.500, 0.500, 0.500]]
}

***

(2)
{
  "formula": "SnPd4Pt4",
  "functional": "PBE",
  "state": "optimized geometry",
  "formation_energy_mev_per_atom": -239.0,
  "magnetic_moment_mub_per_cell": 0.00,
  "crystal_system": "tetragonal",
  "lattice_angstrom": [[-4.239, 4.239, 1.989], [4.239, -4.239, 1.989], [4.239, 4.239, -1.989]],
  "species": ["Sn", "Pd", "Pd", "Pd", "Pd", "Pt", "Pt", "Pt", "Pt"],
  "frac_coords": [[0.000, 0.000, 0.000], [0.333, 0.333, 0.667], [0.333, 0.667, 0.000], [0.667, 0.333, 0.000], [0.667, 0.667, 0.333], [0.000, 0.335, 0.335], [0.000, 0.665, 0.665], [0.335, 0.000, 0.335], [0.665, 0.000, 0.665]]
}

***

(3)
{
  "formula": "RbCoRuS3",
  "functional": "PBE",
  "state": "optimized geometry",
  "magnetic_moment_mub_per_cell": 3.40,
  "e_form_raw_ev_per_atom": -0.413,
  "crystal_system": "orthorhombic",
  "lattice_angstrom": [[3.217, -5.867, 0.000], [3.217, 5.867, 0.000], [0.000, 0.000, 6.376]],
  "species": ["Rb", "Rb", "Co", "Co", "Ru", "Ru", "S", "S", "S", "S", "S", "S"],
  "frac_coords": [[0.243, 0.757, 0.750], [0.757, 0.243, 0.250], [0.074, 0.926, 0.250], [0.926, 0.074, 0.750], [0.440, 0.560, 0.250], [0.560, 0.440, 0.750], [0.244, 0.244, 0.000], [0.244, 0.244, 0.500], [0.252, 0.748, 0.250], [0.748, 0.252, 0.750], [0.756, 0.756, 0.000], [0.756, 0.756, 0.500]]
}

***

(4)
{
  "formula": "AcPrEu4",
  "functional": "PBE",
  "state": "optimized geometry",
  "formation_energy_mev_per_atom": 209.0,
  "magnetic_moment_mub_per_cell": 32.00,
  "crystal_system": "cubic",
  "lattice_angstrom": [[0.000, 5.015, 5.015], [5.015, 0.000, 5.015], [5.015, 5.015, 0.000]],
  "species": ["Ac", "Pr", "Eu", "Eu", "Eu", "Eu"],
  "frac_coords": [[0.000, 0.000, 0.000], [0.750, 0.750, 0.750], [0.376, 0.376, 0.376], [0.376, 0.376, 0.873], [0.376, 0.873, 0.376], [0.873, 0.376, 0.376]]
}

***

(5)
{
  "formula": "VI2",
  "functional": "PBE",
  "state": "optimized geometry",
  "magnetic_moment_mub_per_cell": 6.00,
  "e_form_raw_ev_per_atom": -0.451,
  "crystal_system": "monoclinic",
  "lattice_angstrom": [[7.127, 0.000, 0.000], [0.000, 4.116, 0.000], [-2.251, 0.000, 7.421]],
  "species": ["V", "V", "I", "I", "I", "I"],
  "frac_coords": [[0.000, 0.000, 0.000], [0.500, 0.500, 0.000], [0.233, 0.500, 0.211], [0.267, 0.000, 0.789], [0.733, 0.000, 0.211], [0.767, 0.500, 0.789]]
}

***

(6)
{
  "formula": "KGeTe2",
  "functional": "PBE",
  "state": "optimized geometry",
  "magnetic_moment_mub_per_cell": 0.00,
  "e_form_raw_ev_per_atom": -0.142,
  "crystal_system": "trigonal",
  "lattice_angstrom": [[4.205, 0.000, 0.000], [-2.103, 3.642, 0.000], [0.000, 0.000, 29.258]],
  "species": ["K", "K", "K", "Ge", "Ge", "Ge", "Te", "Te", "Te", "Te", "Te", "Te"],
  "frac_coords": [[0.000, 0.000, 0.000], [0.333, 0.667, 0.667], [0.667, 0.333, 0.333], [0.000, 0.000, 0.500], [0.333, 0.667, 0.167], [0.667, 0.333, 0.833], [0.000, 0.000, 0.112], [0.000, 0.000, 0.888], [0.333, 0.667, 0.555], [0.333, 0.667, 0.778], [0.667, 0.333, 0.222], [0.667, 0.333, 0.445]]
}